Compound: MgTePd
Source: Alexandria via LeMat-Bulk
Functional: GGA-PBE
Structure: relaxed

Its spin magnetization is 0.0 μB per formula unit. The value obtained for the volume is 21.690 A^3/atom. The value obtained for the formation energy from raw total energies is -14.22 kcal/mol of atoms.

The structure belongs to space group C2 (No. 5); the cell edges are 8.0251, 4.6885 and 7.5410 Å and the angles 90.00°, 113.46° and 90.00°. The distinct sites, in fractional coordinates, are Mg at (0.0000, 0.0000, 0.0000), Mg at (0.0000, 0.4125, 0.5000), Te at (0.2447, 0.9303, 0.7094) and Pd at (0.1312, 0.5234, 0.8971).